A plane-wave DFT calculation with GGA-PBE was carried out for a relaxed structure of Ti3NbI.

Properties
Total DFT energy (no corrections) ... -29.31 eV/f.u.
Energy relative to the elements, uncorrected ... 1.199 eV per atom
ΔE to the lowest computed polymorph ... 0.2116 eV per atom
Total moment ... 0.0 Bohr magnetons per cell

a b c (Å): 4.863 4.863 4.863
angles (deg): 90.00 90.00 90.00
Space group Pm-3m (No. 221)
Symmetry-distinct sites (fractional):
Ti: 0.000 0.000 0.500 [3 per cell]
Nb: 0.500 0.500 0.500 [1 per cell]
I: 0.000 0.000 0.000 [1 per cell]